A plane-wave DFT calculation with PBE-GGA was carried out for a geometry-optimized NaLaNbIr structure.

Results
Energy above the most stable polymorph in this dataset ... 4 meV per atom
DFT total energy ... -5.97 eV/atom
Magnetic moment ... 0.0008 μB per atom

Geometry as POSCAR:
```
NaLaNbIr
1.0
0.000 3.417 3.417
3.417 0.000 3.417
3.417 3.417 0.000
Nb Ir Na La
1 1 1 1
Direct
0.250 0.250 0.250
0.000 0.000 0.000
0.750 0.750 0.750
0.500 0.500 0.500
```

A plane-wave DFT calculation with PBE-GGA was carried out for a geometry-optimized PaTcB structure.

Results
Energy above the most stable polymorph in this dataset ... 0 meV per atom
DFT total energy ... -8.76 eV/atom
Magnetic moment ... 0.0004 μB per atom

Geometry as POSCAR:
```
PaTcB
1.0
1.031 -3.044 2.616
-0.005 0.689 4.087
-2.898 -1.747 2.392
Tc B Pa
1 1 1
Direct
0.750 0.750 0.750
0.000 0.000 0.000
0.250 0.250 0.250
```

A plane-wave DFT calculation with PBE-GGA was carried out for a geometry-optimized Cu2Br structure.

Results
Energy above the most stable polymorph in this dataset ... 420 meV per atom
DFT total energy ... -2.20 eV/atom

Geometry as POSCAR:
```
Cu2Br
1.0
3.910 2.257 6.385
-3.910 2.257 6.385
0.000 -4.515 6.385
Cu Br
4 2
Direct
0.875 0.375 0.875
0.375 0.875 0.875
0.875 0.875 0.875
0.875 0.875 0.375
0.000 0.000 0.000
0.750 0.750 0.750
```